Entry from Alexandria via LeMat-Bulk: crystalline Ce3Hg2Ge at its relaxed geometry (PBE).

Properties
Electronic total energy (eV/atom): -4.1133
Size of the total moment (μB per cell): 14.37
ΔE_f (meV per atom): -276

a = 7.8616 Å, b = 11.8183 Å, c = 7.9024 Å
α = 90.00°, β = 103.35°, γ = 90.00°
With the nearest neighbours (Å) after each atom.
Space group C2/m (No. 12)
Symmetry-distinct sites (fractional):
1 Ce 0.1938 0.0000 0.1920 (multiplicity 4)  2 Ge 3.00, 4 Hg 3.13-3.34
2 Ce 0.2333 0.1778 0.7484 (multiplicity 8)  2 Ge 2.93-3.01, 2 Hg 3.16-3.25
3 Hg 0.0000 0.0000 0.5000 (multiplicity 2)  6 Ce 3.16
4 Hg 0.0000 0.3756 0.5000 (multiplicity 4)  1 Hg 2.94, 2 Ce 3.25
5 Hg 0.0000 0.5000 0.0000 (multiplicity 2)  6 Ce 3.13-3.29
6 Ge 0.0000 0.1970 0.0000 (multiplicity 4)  6 Ce 2.93-3.01